[1]
VASP calculation (PBE) on a relaxed structure of Pm4Pr5Nd2.

Results
Formation enthalpy at 0 K (meV/atom): 126.2
Density (Mg/m³): 6.7
Space group: C2/m

Geometry as POSCAR:
```
Pm4Pr5Nd2
1.0
3.497 0.000 -0.533
-0.203 8.945 -1.332
0.105 0.379 12.426
Pm Pr Nd
4 5 2
Direct
0.678 0.472 0.355
0.046 0.363 0.092
0.322 0.528 0.645
0.954 0.637 0.908
0.140 0.116 0.280
0.860 0.884 0.720
0.231 0.823 0.463
0.500 0.000 0.000
0.769 0.177 0.537
0.909 0.269 0.819
0.091 0.731 0.181
```

---

[2]
VASP calculation (PBE) on a relaxed structure of Pm3Pr3Nd4.

Results
Formation enthalpy at 0 K (meV/atom): 106.1
Density (Mg/m³): 6.6
Space group: Amm2

Geometry as POSCAR:
```
Pm3Pr3Nd4
1.0
3.838 0.000 0.000
0.000 9.681 -0.049
0.000 0.036 9.681
Pm Pr Nd
3 3 4
Direct
0.000 0.498 0.999
0.000 0.001 0.502
0.500 0.172 0.828
0.500 0.829 0.171
0.500 0.328 0.329
0.500 0.671 0.672
0.000 0.628 0.372
0.000 0.370 0.630
0.000 0.873 0.871
0.000 0.129 0.127
```

---

[3]
VASP calculation (PBE) on a relaxed structure of Pm2Pr5Nd3.

Results
Formation enthalpy at 0 K (meV/atom): 335.5
Density (Mg/m³): 6.3
Space group: Ibam

Geometry as POSCAR:
```
Pm2Pr5Nd3
1.0
6.952 0.000 0.000
3.476 11.894 2.998
3.476 6.047 10.672
Pm Pr Nd
4 10 6
Direct
0.124 0.783 0.969
0.876 0.217 0.031
0.624 0.969 0.783
0.376 0.031 0.217
0.250 0.500 0.500
0.750 0.500 0.500
0.499 0.751 0.751
0.001 0.249 0.249
0.501 0.249 0.249
0.999 0.751 0.751
0.126 0.473 0.276
0.874 0.527 0.724
0.626 0.276 0.473
0.374 0.724 0.527
0.250 0.000 0.000
0.750 0.000 0.000
0.377 0.372 0.874
0.623 0.628 0.126
0.877 0.874 0.372
0.123 0.126 0.628
```

---

[4]
VASP calculation (PBE) on a relaxed structure of Pm2Pr8Nd.

Results
Formation enthalpy at 0 K (meV/atom): 130.8
Density (Mg/m³): 6.5
Space group: C2/m

Geometry as POSCAR:
```
Pm2Pr8Nd
1.0
-5.326 1.733 7.384
-10.273 0.753 2.389
-7.369 -4.879 5.805
Pm Pr Nd
2 8 1
Direct
0.675 0.834 0.834
0.325 0.166 0.166
0.213 0.332 0.779
0.787 0.221 0.668
0.239 0.711 0.711
0.761 0.289 0.289
0.213 0.779 0.332
0.787 0.668 0.221
0.682 0.660 0.660
0.318 0.340 0.340
0.000 0.000 0.000
```

---

Number 1: Fermi-level density of states 1.665 states/eV per atom, total magnetic moment 0.0 μB per formula unit. Number 2: Fermi-level density of states 1.209 states/eV per atom, total magnetic moment 0.0 μB per formula unit. Number 3: Fermi-level density of states 1.520 states/eV per atom, total magnetic moment 0.0 μB per formula unit. Number 4: Fermi-level density of states 1.411 states/eV per atom, total magnetic moment 0.0 μB per formula unit.